# Li3Y2US6 PBE relaxed
# DOS at the Fermi energy: 0.81 states/eV per atom
# Energy relative to the elements, uncorrected: -1.659 eV per atom
data_Li3Y2US6
_symmetry_space_group_name_H-M 'C 1 2/m 1'
_symmetry_Int_Tables_number 12
_symmetry_space_group_name_Hall '-C 2y'
_cell_length_a 6.781
_cell_length_b 11.740
_cell_length_c 6.590
_cell_angle_alpha 90.00
_cell_angle_beta 110.04
_cell_angle_gamma 90.00
loop_
_atom_site_label
_atom_site_type_symbol
_atom_site_fract_x
_atom_site_fract_y
_atom_site_fract_z
Li1 Li 0.000 0.000 0.000
Li2 Li 0.000 0.332 0.000
Y1 Y 0.000 0.167 0.500
U1 U 0.000 0.500 0.500
S1 S 0.248 0.500 0.247
S2 S 0.249 0.166 0.246

# LiY3U3S8 PBE relaxed
# DOS at the Fermi energy: 1.15 states/eV per atom
# Energy relative to the elements, uncorrected: -1.665 eV per atom
data_LiY3U3S8
_symmetry_space_group_name_H-M 'R -3 m'
_symmetry_Int_Tables_number 166
_symmetry_space_group_name_Hall '-R 3 2"'
_cell_length_a 7.6945
_cell_length_b 7.6945
_cell_length_c 19.3089
_cell_angle_alpha 90.00
_cell_angle_beta 90.00
_cell_angle_gamma 120.00
loop_
_atom_site_label
_atom_site_type_symbol
_atom_site_fract_x
_atom_site_fract_y
_atom_site_fract_z
Li1 Li 0.0000 0.0000 0.0000
Y1 Y 0.0000 0.5000 0.5000
U1 U 0.0000 0.5000 0.0000
S1 S 0.0000 0.0000 0.2493
S2 S 0.0041 0.5021 0.7482

# LiY2US6 PBE relaxed
# DOS at the Fermi energy: 0.55 states/eV per atom
# Energy relative to the elements, uncorrected: -1.302 eV per atom
data_LiY2US6
_symmetry_space_group_name_H-M 'P 4 m m'
_symmetry_Int_Tables_number 99
_symmetry_space_group_name_Hall 'P 4 -2'
_cell_length_a 6.351
_cell_length_b 6.351
_cell_length_c 6.307
_cell_angle_alpha 90.00
_cell_angle_beta 90.00
_cell_angle_gamma 90.00
loop_
_atom_site_label
_atom_site_type_symbol
_atom_site_fract_x
_atom_site_fract_y
_atom_site_fract_z
Li1 Li 0.000 0.000 0.000
Y1 Y 0.000 0.500 0.452
U1 U 0.500 0.500 0.058
S1 S 0.000 0.000 0.632
S2 S 0.240 0.240 0.205
S3 S 0.500 0.500 0.640

# LiY2US4 PBE relaxed
# DOS at the Fermi energy: 0.83 states/eV per atom
# Energy relative to the elements, uncorrected: -1.727 eV per atom
data_LiY2US4
_symmetry_space_group_name_H-M 'P 1 2/m 1'
_symmetry_Int_Tables_number 10
_symmetry_space_group_name_Hall '-P 2y'
_cell_length_a 6.731
_cell_length_b 3.866
_cell_length_c 6.753
_cell_angle_alpha 90.00
_cell_angle_beta 109.23
_cell_angle_gamma 90.00
loop_
_atom_site_label
_atom_site_type_symbol
_atom_site_fract_x
_atom_site_fract_y
_atom_site_fract_z
Li1 Li 0.000 0.000 0.000
Y1 Y 0.500 0.000 0.500
Y2 Y 0.500 0.500 0.000
U1 U 0.000 0.500 0.500
S1 S 0.244 0.500 0.244
S2 S 0.246 0.000 0.755

# Li2Y2US6 PBE relaxed
# DOS at the Fermi energy: 0.54 states/eV per atom
# Energy relative to the elements, uncorrected: -1.688 eV per atom
data_Li2Y2US6
_symmetry_space_group_name_H-M 'C 1 2/m 1'
_symmetry_Int_Tables_number 12
_symmetry_space_group_name_Hall '-C 2y'
_cell_length_a 6.848
_cell_length_b 11.864
_cell_length_c 6.543
_cell_angle_alpha 90.00
_cell_angle_beta 109.86
_cell_angle_gamma 90.00
loop_
_atom_site_label
_atom_site_type_symbol
_atom_site_fract_x
_atom_site_fract_y
_atom_site_fract_z
Li1 Li 0.000 0.169 0.000
Y1 Y 0.000 0.335 0.500
U1 U 0.000 0.000 0.500
S1 S 0.240 0.167 0.744
S2 S 0.242 0.000 0.257

# LiY2US5 PBE relaxed
# DOS at the Fermi energy: 0.77 states/eV per atom
# Energy relative to the elements, uncorrected: -1.653 eV per atom
data_LiY2US5
_symmetry_space_group_name_H-M 'C m c 21'
_symmetry_Int_Tables_number 36
_symmetry_space_group_name_Hall 'C 2c -2'
_cell_length_a 3.875
_cell_length_b 16.221
_cell_length_c 11.841
_cell_angle_alpha 90.00
_cell_angle_beta 90.00
_cell_angle_gamma 90.00
loop_
_atom_site_label
_atom_site_type_symbol
_atom_site_fract_x
_atom_site_fract_y
_atom_site_fract_z
Li1 Li 0.000 0.016 0.000
Y1 Y 0.000 0.374 0.819
Y2 Y 0.000 0.392 0.212
U1 U 0.000 0.300 0.529
S1 S 0.000 0.002 0.306
S2 S 0.000 0.134 0.527
S3 S 0.000 0.190 0.868
S4 S 0.000 0.213 0.191
S5 S 0.000 0.452 0.597

Which of these has the lowest energy relative to the elements, uncorrected?
LiY2US4

What is the formula in the sixth record?
LiY2US5

What is the energy relative to the elements, uncorrected in the fourth record?
-1.727 eV per atom